(1)
Al2CoHg | PBE-GGA | optimized geometry

Summary:
total energy: -13.8 eV for the cell shown
space-group type: No. 216
volume: 62.0 Å³ per cell
energy of formation from the pure elements: 263 meV/atom

The structure in CIF format:
```
data_Al2CoHg
_chemical_formula_sum 'Al2 Co1 Hg1'
_space_group_name_H-M_alt 'P 1'
_space_group_IT_number 1
_cell_length_a 4.4424
_cell_length_b 4.4424
_cell_length_c 4.4424
_cell_angle_alpha 60.00
_cell_angle_beta 60.00
_cell_angle_gamma 60.00
loop_
_space_group_symop_operation_xyz
'x,y,z'
loop_
_atom_site_label
_atom_site_fract_x
_atom_site_fract_y
_atom_site_fract_z
Al1 0.7500 0.7500 0.7500
Al2 0.0000 0.0000 0.0000
Hg1 0.2500 0.2500 0.2500
Co1 0.5000 0.5000 0.5000
```

=====

(2)
Eu2HPt | PBE-GGA | optimized geometry

Summary:
total energy: -32.0 eV for the cell shown
space-group type: No. 123
volume: 85.7 Å³ per cell

The structure in CIF format:
```
data_Eu2HPt
_chemical_formula_sum 'Eu2 H1 Pt1'
_space_group_name_H-M_alt 'P 1'
_space_group_IT_number 1
_cell_length_a 3.4662
_cell_length_b 3.4662
_cell_length_c 7.1321
_cell_angle_alpha 90.00
_cell_angle_beta 90.00
_cell_angle_gamma 90.00
loop_
_space_group_symop_operation_xyz
'x,y,z'
loop_
_atom_site_label
_atom_site_fract_x
_atom_site_fract_y
_atom_site_fract_z
Eu1 0.0000 0.0000 0.2536
Eu2 0.0000 0.0000 0.7464
H1 0.5000 0.5000 0.5000
Pt1 0.5000 0.5000 0.0000
```

=====

(3)
MgReRuW | PBE-GGA | optimized geometry

Summary:
total energy: -36.0 eV for the cell shown
space-group type: No. 216
volume: 60.8 Å³ per cell
energy of formation from the pure elements: 64 meV/atom

The structure in CIF format:
```
data_MgReRuW
_chemical_formula_sum 'Mg1 Re1 Ru1 W1'
_space_group_name_H-M_alt 'P 1'
_space_group_IT_number 1
_cell_length_a 4.4141
_cell_length_b 4.4141
_cell_length_c 4.4141
_cell_angle_alpha 60.00
_cell_angle_beta 60.00
_cell_angle_gamma 60.00
loop_
_space_group_symop_operation_xyz
'x,y,z'
loop_
_atom_site_label
_atom_site_fract_x
_atom_site_fract_y
_atom_site_fract_z
W1 0.0000 0.0000 0.0000
Re1 0.2500 0.2500 0.2500
Mg1 0.5000 0.5000 0.5000
Ru1 0.7500 0.7500 0.7500
```

=====

(4)
P4W3 | PBE-GGA | optimized geometry

Summary:
total energy: -61.7 eV for the cell shown
space-group type: No. 139
volume: 97.8 Å³ per cell
energy of formation from the pure elements: -177 meV/atom

The structure in CIF format:
```
data_P4W3
_chemical_formula_sum 'P4 W3'
_space_group_name_H-M_alt 'P 1'
_space_group_IT_number 1
_cell_length_a 9.8526
_cell_length_b 9.8526
_cell_length_c 9.8526
_cell_angle_alpha 161.35
_cell_angle_beta 161.35
_cell_angle_gamma 26.50
loop_
_space_group_symop_operation_xyz
'x,y,z'
loop_
_atom_site_label
_atom_site_fract_x
_atom_site_fract_y
_atom_site_fract_z
P1 0.5686 0.5686 0.0000
P2 0.4314 0.4314 0.0000
P3 0.1451 0.1451 0.0000
P4 0.8549 0.8549 0.0000
W1 0.3029 0.3029 0.0000
W2 0.0000 0.0000 0.0000
W3 0.6971 0.6971 0.0000
```

=====

(5)
AgRh | PBE-GGA | optimized geometry

Summary:
total energy: -19.2 eV for the cell shown
space-group type: No. 141
volume: 63.8 Å³ per cell
energy of formation from the pure elements: 305 meV/atom

The structure in CIF format:
```
data_AgRh
_chemical_formula_sum 'Ag2 Rh2'
_space_group_name_H-M_alt 'P 1'
_space_group_IT_number 1
_cell_length_a 4.8465
_cell_length_b 4.8465
_cell_length_c 4.8465
_cell_angle_alpha 130.81
_cell_angle_beta 130.81
_cell_angle_gamma 72.11
loop_
_space_group_symop_operation_xyz
'x,y,z'
loop_
_atom_site_label
_atom_site_fract_x
_atom_site_fract_y
_atom_site_fract_z
Rh1 0.5000 0.5000 0.0000
Rh2 0.2500 0.7500 0.5000
Ag1 0.7500 0.2500 0.5000
Ag2 0.0000 0.0000 0.0000
```

=====

(6)
ZrVSbBr2 | PBE-GGA | optimized geometry

Summary:
total energy: -20.0 eV for the cell shown
space-group type: No. 123
volume: 168.0 Å³ per cell
E_form (uncorrected): 1.029 eV per atom

The structure in CIF format:
```
data_ZrVSbBr2
_chemical_formula_sum 'Zr1 V1 Sb1 Br2'
_space_group_name_H-M_alt 'P 1'
_space_group_IT_number 1
_cell_length_a 5.6227
_cell_length_b 5.3134
_cell_length_c 5.6227
_cell_angle_alpha 90.00
_cell_angle_beta 90.00
_cell_angle_gamma 90.00
loop_
_space_group_symop_operation_xyz
'x,y,z'
loop_
_atom_site_label
_atom_site_fract_x
_atom_site_fract_y
_atom_site_fract_z
Br1 0.5000 0.0000 0.0000
Br2 0.0000 0.0000 0.5000
V1 0.0000 0.5000 0.0000
Zr1 0.5000 0.5000 0.5000
Sb1 0.0000 0.0000 0.0000
```

=====

(7)
Ag3Au8 | PBE-GGA | optimized geometry

Summary:
total energy: -31.6 eV for the cell shown
space-group type: No. 148
volume: 235.8 Å³ per cell
energy of formation from the pure elements: 284 meV/atom

The structure in CIF format:
```
data_Ag3Au8
_chemical_formula_sum 'Ag3 Au8'
_space_group_name_H-M_alt 'P 1'
_space_group_IT_number 1
_cell_length_a 6.2146
_cell_length_b 6.2146
_cell_length_c 6.2146
_cell_angle_alpha 95.95
_cell_angle_beta 95.95
_cell_angle_gamma 95.95
loop_
_space_group_symop_operation_xyz
'x,y,z'
loop_
_atom_site_label
_atom_site_fract_x
_atom_site_fract_y
_atom_site_fract_z
Ag1 0.0000 0.5000 0.5000
Ag2 0.5000 0.5000 0.0000
Ag3 0.5000 0.0000 0.5000
Au1 0.9343 0.3147 0.0778
Au2 0.6853 0.9222 0.0657
Au3 0.3585 0.3585 0.3585
Au4 0.9222 0.0657 0.6853
Au5 0.6415 0.6415 0.6415
Au6 0.0778 0.9343 0.3147
Au7 0.3147 0.0778 0.9343
Au8 0.0657 0.6853 0.9222
```

=====

(8)
Cs2MgPt | PBE-GGA | optimized geometry

Summary:
total energy: -8.2 eV for the cell shown
space-group type: No. 225
volume: 158.2 Å³ per cell
energy of formation from the pure elements: 297 meV/atom

The structure in CIF format:
```
data_Cs2MgPt
_chemical_formula_sum 'Cs2 Mg1 Pt1'
_space_group_name_H-M_alt 'P 1'
_space_group_IT_number 1
_cell_length_a 6.0701
_cell_length_b 6.0701
_cell_length_c 6.0701
_cell_angle_alpha 60.00
_cell_angle_beta 60.00
_cell_angle_gamma 60.00
loop_
_space_group_symop_operation_xyz
'x,y,z'
loop_
_atom_site_label
_atom_site_fract_x
_atom_site_fract_y
_atom_site_fract_z
Cs1 0.2500 0.2500 0.2500
Cs2 0.7500 0.7500 0.7500
Pt1 0.5000 0.5000 0.5000
Mg1 0.0000 0.0000 0.0000
```

=====

(9)
Ti2Pt3Rh3 | PBE-GGA | optimized geometry

Summary:
total energy: -62.4 eV for the cell shown
space-group type: No. 47
volume: 118.2 Å³ per cell
energy of formation from the pure elements: -807 meV/atom

The structure in CIF format:
```
data_Ti2Pt3Rh3
_chemical_formula_sum 'Ti2 Pt3 Rh3'
_space_group_name_H-M_alt 'P 1'
_space_group_IT_number 1
_cell_length_a 3.9244
_cell_length_b 3.8962
_cell_length_c 7.7283
_cell_angle_alpha 90.00
_cell_angle_beta 90.00
_cell_angle_gamma 90.00
loop_
_space_group_symop_operation_xyz
'x,y,z'
loop_
_atom_site_label
_atom_site_fract_x
_atom_site_fract_y
_atom_site_fract_z
Rh1 0.5000 0.0000 0.5000
Rh2 0.0000 0.5000 0.0000
Rh3 0.0000 0.5000 0.5000
Pt1 0.5000 0.5000 0.7482
Pt2 0.5000 0.0000 0.0000
Pt3 0.5000 0.5000 0.2518
Ti1 0.0000 0.0000 0.7450
Ti2 0.0000 0.0000 0.2550
```

=====

(10)
HfFe8W3 | PBE-GGA | optimized geometry

Summary:
total energy: -117.3 eV for the cell shown
space-group type: No. 156
volume: 152.4 Å³ per cell
energy of formation from the pure elements: -69 meV/atom

The structure in CIF format:
```
data_HfFe8W3
_chemical_formula_sum 'Hf1 Fe8 W3'
_space_group_name_H-M_alt 'P 1'
_space_group_IT_number 1
_cell_length_a 4.7406
_cell_length_b 4.7406
_cell_length_c 7.8314
_cell_angle_alpha 90.00
_cell_angle_beta 90.00
_cell_angle_gamma 120.00
loop_
_space_group_symop_operation_xyz
'x,y,z'
loop_
_atom_site_label
_atom_site_fract_x
_atom_site_fract_y
_atom_site_fract_z
Hf1 0.0000 0.0000 0.5669
W1 0.6667 0.3333 0.4160
W2 0.0000 0.0000 0.9455
W3 0.6667 0.3333 0.0604
Fe1 0.1645 0.3290 0.2496
Fe2 0.1645 0.8355 0.2496
Fe3 0.5034 0.4966 0.7532
Fe4 0.3333 0.6667 0.5008
Fe5 0.6710 0.8355 0.2496
Fe6 0.5034 0.0068 0.7532
Fe7 0.3333 0.6667 0.0021
Fe8 0.9932 0.4966 0.7532
```

=====

(11)
Si2AsRh | PBE-GGA | optimized geometry

Summary:
total energy: -22.8 eV for the cell shown
space-group type: No. 44
volume: 65.8 Å³ per cell
E_form (uncorrected): 0.006 eV per atom

The structure in CIF format:
```
data_Si2AsRh
_chemical_formula_sum 'Si2 As1 Rh1'
_space_group_name_H-M_alt 'P 1'
_space_group_IT_number 1
_cell_length_a 6.2570
_cell_length_b 6.2570
_cell_length_c 6.2570
_cell_angle_alpha 153.60
_cell_angle_beta 142.72
_cell_angle_gamma 46.26
loop_
_space_group_symop_operation_xyz
'x,y,z'
loop_
_atom_site_label
_atom_site_fract_x
_atom_site_fract_y
_atom_site_fract_z
Si1 0.7638 0.2638 0.5000
Si2 0.0565 0.0565 0.0000
As1 0.4456 0.4456 0.0000
Rh1 0.2341 0.7341 0.5000
```

=====

(12)
NaCaI2N | PBE-GGA | optimized geometry

Summary:
total energy: -16.7 eV for the cell shown
space-group type: No. 123
volume: 185.6 Å³ per cell
E_form (uncorrected): -0.392 eV per atom

The structure in CIF format:
```
data_NaCaI2N
_chemical_formula_sum 'Na1 Ca1 I2 N1'
_space_group_name_H-M_alt 'P 1'
_space_group_IT_number 1
_cell_length_a 6.2476
_cell_length_b 6.2476
_cell_length_c 4.7548
_cell_angle_alpha 90.00
_cell_angle_beta 90.00
_cell_angle_gamma 90.00
loop_
_space_group_symop_operation_xyz
'x,y,z'
loop_
_atom_site_label
_atom_site_fract_x
_atom_site_fract_y
_atom_site_fract_z
Na1 0.5000 0.5000 0.5000
I1 0.0000 0.5000 0.0000
I2 0.5000 0.0000 0.0000
N1 0.0000 0.0000 0.5000
Ca1 0.0000 0.0000 0.0000
```

=====

(13)
PbS3Cl | PBE-GGA | optimized geometry

Summary:
total energy: -13.7 eV for the cell shown
space-group type: No. 221
volume: 149.0 Å³ per cell
E_form (uncorrected): 0.857 eV per atom

The structure in CIF format:
```
data_PbS3Cl
_chemical_formula_sum 'Pb1 S3 Cl1'
_space_group_name_H-M_alt 'P 1'
_space_group_IT_number 1
_cell_length_a 5.3020
_cell_length_b 5.3020
_cell_length_c 5.3020
_cell_angle_alpha 90.00
_cell_angle_beta 90.00
_cell_angle_gamma 90.00
loop_
_space_group_symop_operation_xyz
'x,y,z'
loop_
_atom_site_label
_atom_site_fract_x
_atom_site_fract_y
_atom_site_fract_z
S1 0.0000 0.5000 0.0000
S2 0.5000 0.0000 0.0000
S3 0.0000 0.0000 0.5000
Cl1 0.5000 0.5000 0.5000
Pb1 0.0000 0.0000 0.0000
```